DFT (PBE) results for a geometry-optimized PuMnTlCl6 structure.

Formation energy without anion corrections: -1446 meV/atom
Mass density: 4.1 g/cm³
Volume: 32.176 A^3/atom

Lattice parameters (Å, degrees): 6.9408 6.9408 13.8819 90.00 90.00 120.00
Last column: nearest neighbours and their distance in Å.
Positions (direct):
Pu (0.3333, 0.6667, 0.2500)  6 Cl 2.73
Pu (0.6667, 0.3333, 0.7500)  6 Cl 2.73
Mn (0.3333, 0.6667, 0.7500)  6 Cl 2.55
Mn (0.6667, 0.3333, 0.2500)  6 Cl 2.55
Tl (0.0000, 0.0000, 0.0000)  6 Cl 3.26
Tl (0.0000, 0.0000, 0.5000)  6 Cl 3.26
Cl (0.0202, 0.3806, 0.6443)  1 Mn 2.55, 1 Pu 2.73
Cl (0.0202, 0.6396, 0.8557)  1 Mn 2.55, 1 Pu 2.73
Cl (0.3604, 0.3806, 0.8557)  1 Mn 2.55, 1 Pu 2.73
Cl (0.3604, 0.9798, 0.6443)  1 Mn 2.55, 1 Pu 2.73
Cl (0.3806, 0.0202, 0.1443)  1 Mn 2.55, 1 Pu 2.73
Cl (0.3806, 0.3604, 0.3557)  1 Mn 2.55, 1 Pu 2.73
Cl (0.6194, 0.6396, 0.6443)  1 Mn 2.55, 1 Pu 2.73
Cl (0.6194, 0.9798, 0.8557)  1 Mn 2.55, 1 Pu 2.73
Cl (0.6396, 0.0202, 0.3557)  1 Mn 2.55, 1 Pu 2.73
Cl (0.6396, 0.6194, 0.1443)  1 Mn 2.55, 1 Pu 2.73
Cl (0.9798, 0.3604, 0.1443)  1 Mn 2.55, 1 Pu 2.73
Cl (0.9798, 0.6194, 0.3557)  1 Mn 2.55, 1 Pu 2.73

---

DFT (PBE) results for a geometry-optimized Pu2MnTlCl8 structure.

Formation energy without anion corrections: -1521 meV/atom
Mass density: 4.6 g/cm³
Volume: 30.697 A^3/atom

Lattice parameters (Å, degrees): 6.4419 8.6381 6.6293 90.00 93.06 90.00
Last column: nearest neighbours and their distance in Å.
Positions (direct):
Pu (0.0000, 0.2403, 0.0000)  6 Cl 2.78-2.83
Pu (0.0000, 0.7597, 0.0000)  6 Cl 2.78-2.83
Mn (0.5000, 0.0000, 0.5000)  4 Cl 2.49
Tl (0.5000, 0.5000, 0.5000)  6 Cl 3.12-3.14
Cl (0.2196, 0.5000, 0.8725)  2 Pu 2.81, 1 Tl 3.14
Cl (0.2304, 0.0000, 0.8282)  2 Pu 2.83, 1 Mn 2.86
Cl (0.2748, 0.2029, 0.3347)  1 Mn 2.49, 1 Pu 2.78
Cl (0.2748, 0.7971, 0.3347)  1 Mn 2.49, 1 Pu 2.78
Cl (0.7252, 0.2029, 0.6653)  1 Mn 2.49, 1 Pu 2.78
Cl (0.7252, 0.7971, 0.6653)  1 Mn 2.49, 1 Pu 2.78
Cl (0.7696, 0.0000, 0.1718)  2 Pu 2.83, 1 Mn 2.86
Cl (0.7804, 0.5000, 0.1275)  2 Pu 2.81, 1 Tl 3.14

---

DFT (PBE) results for a geometry-optimized PuMn2TlCl8 structure.

Formation energy without anion corrections: -1305 meV/atom
Mass density: 3.8 g/cm³
Volume: 30.380 A^3/atom

Lattice parameters (Å, degrees): 10.5393 10.5393 10.5393 36.16 36.16 36.16
Last column: nearest neighbours and their distance in Å.
Positions (direct):
Pu (0.0000, 0.0000, 0.0000)  6 Cl 2.74
Mn (0.2489, 0.2489, 0.2489)  4 Cl 2.27-2.38
Mn (0.7511, 0.7511, 0.7511)  4 Cl 2.27-2.38
Tl (0.5000, 0.5000, 0.5000)  12 Cl 3.78-3.89
Cl (0.0665, 0.3843, 0.7188)  1 Mn 2.38
Cl (0.1721, 0.1721, 0.1721)  1 Mn 2.27
Cl (0.2812, 0.9335, 0.6157)  1 Mn 2.38
Cl (0.3843, 0.7188, 0.0665)  1 Mn 2.38
Cl (0.6157, 0.2812, 0.9335)  1 Mn 2.38
Cl (0.7188, 0.0665, 0.3843)  1 Mn 2.38
Cl (0.8279, 0.8279, 0.8279)  1 Mn 2.27
Cl (0.9335, 0.6157, 0.2812)  1 Mn 2.38

---

DFT (PBE) results for a geometry-optimized Rb2Mn3Cl10 structure.

Formation energy without anion corrections: -1275 meV/atom
Mass density: 2.9 g/cm³
Volume: 26.619 A^3/atom

Lattice parameters (Å, degrees): 12.1169 12.1169 10.1464 109.42 109.42 34.89
Last column: nearest neighbours and their distance in Å.
Positions (direct):
Rb (0.1210, 0.1210, 0.2484)  12 Cl 3.46-3.69
Rb (0.2254, 0.2254, 0.8001)  11 Cl 3.53-3.75
Rb (0.7746, 0.7746, 0.1999)  11 Cl 3.53-3.75
Rb (0.8790, 0.8790, 0.7516)  12 Cl 3.46-3.69
Mn (0.2432, 0.7568, 0.5000)  6 Cl 2.45-2.57
Mn (0.3207, 0.3207, 0.4780)  6 Cl 2.28-2.50
Mn (0.4292, 0.4292, 0.0470)  4 Cl 2.25-2.41
Mn (0.5708, 0.5708, 0.9530)  4 Cl 2.25-2.41
Mn (0.6793, 0.6793, 0.5220)  6 Cl 2.28-2.50
Mn (0.7568, 0.2432, 0.5000)  6 Cl 2.45-2.57
Cl (0.0000, 0.5000, 0.5000)  2 Mn 2.50
Cl (0.0155, 0.0155, 0.6764)  2 Mn 2.45
Cl (0.1306, 0.5928, 0.0271)  1 Mn 2.25
Cl (0.1433, 0.6347, 0.4590)  2 Mn 2.44-2.45
Cl (0.2694, 0.2694, 0.2415)  1 Mn 2.28
Cl (0.2883, 0.7117, 0.0000)  2 Mn 2.41
Cl (0.3633, 0.3633, 0.7180)  1 Mn 2.29
Cl (0.3653, 0.8567, 0.5410)  2 Mn 2.44-2.45
Cl (0.4072, 0.8694, 0.9729)  1 Mn 2.25
Cl (0.4833, 0.4833, 0.3164)  3 Mn 2.57-2.58
Cl (0.5000, 0.0000, 0.5000)  2 Mn 2.50
Cl (0.5167, 0.5167, 0.6836)  3 Mn 2.57-2.58
Cl (0.5928, 0.1306, 0.0271)  1 Mn 2.25
Cl (0.6347, 0.1433, 0.4590)  2 Mn 2.44-2.45
Cl (0.6367, 0.6367, 0.2820)  1 Mn 2.29
Cl (0.7117, 0.2883, 0.0000)  2 Mn 2.41
Cl (0.7306, 0.7306, 0.7585)  1 Mn 2.28
Cl (0.8567, 0.3653, 0.5410)  2 Mn 2.44-2.45
Cl (0.8694, 0.4072, 0.9729)  1 Mn 2.25
Cl (0.9845, 0.9845, 0.3236)  2 Mn 2.45

---

DFT (PBE) results for a geometry-optimized Rb3MnCl structure.

Energy above the most stable polymorph in this dataset: 0.000 eV/atom
Formation energy without anion corrections: -173 meV/atom
Mass density: 2.2 g/cm³
Volume: 52.932 A^3/atom

Lattice parameters (Å, degrees): 6.4204 6.4204 6.4204 90.00 90.00 90.00
Last column: nearest neighbours and their distance in Å.
Positions (direct):
Rb (0.0000, 0.0000, 0.5000)  2 Cl 3.21
Rb (0.0000, 0.5000, 0.0000)  2 Cl 3.21
Rb (0.5000, 0.0000, 0.0000)  2 Cl 3.21
Mn (0.5000, 0.5000, 0.5000)  12 Rb 4.54
Cl (0.0000, 0.0000, 0.0000)  6 Rb 3.21

---

DFT (PBE) results for a geometry-optimized Rb2Mn2Cl7 structure.

Energy above the most stable polymorph in this dataset: 0.000 eV/atom
Formation energy without anion corrections: -1357 meV/atom
Mass density: 2.3 g/cm³
Volume: 34.492 A^3/atom

Lattice parameters (Å, degrees): 5.3734 16.2029 8.8249 90.00 99.02 90.00
Last column: nearest neighbours and their distance in Å.
Positions (direct):
Rb (0.1245, 0.1539, 0.4582)  6 Cl 3.33-3.51
Rb (0.1245, 0.3461, 0.9582)  6 Cl 3.33-3.51
Rb (0.8755, 0.6539, 0.0418)  6 Cl 3.33-3.51
Rb (0.8755, 0.8461, 0.5418)  6 Cl 3.33-3.51
Mn (0.3179, 0.6077, 0.6214)  4 Cl 2.24-2.34
Mn (0.3179, 0.8923, 0.1214)  4 Cl 2.24-2.34
Mn (0.6821, 0.1077, 0.8786)  4 Cl 2.24-2.34
Mn (0.6821, 0.3923, 0.3786)  4 Cl 2.24-2.34
Cl (0.0220, 0.6521, 0.4308)  1 Mn 2.24
Cl (0.0220, 0.8479, 0.9308)  1 Mn 2.24
Cl (0.2664, 0.5461, 0.8466)  1 Mn 2.28
Cl (0.2664, 0.9539, 0.3466)  1 Mn 2.28
Cl (0.4969, 0.7282, 0.7150)  1 Mn 2.27
Cl (0.4969, 0.7718, 0.2150)  1 Mn 2.27
Cl (0.5000, 0.0000, 0.0000)  2 Mn 2.34
Cl (0.5000, 0.5000, 0.5000)  2 Mn 2.34
Cl (0.5031, 0.2282, 0.7850)  1 Mn 2.27
Cl (0.5031, 0.2718, 0.2850)  1 Mn 2.27
Cl (0.7336, 0.0461, 0.6534)  1 Mn 2.28
Cl (0.7336, 0.4539, 0.1534)  1 Mn 2.28
Cl (0.9780, 0.1521, 0.0693)  1 Mn 2.24
Cl (0.9780, 0.3479, 0.5692)  1 Mn 2.24